No. 1
! PBEsol TlZnN2O, relaxed; values from VASP
&SYSTEM
  ibrav = 0, nat = 5, ntyp = 4
/
ATOMIC_SPECIES
Tl 204.38 Tl.upf
Zn 65.41 Zn.upf
N 14.01 N.upf
O 16.00 O.upf
CELL_PARAMETERS angstrom
4.270 0.000 0.000
0.000 4.270 0.000
0.000 0.000 4.228
ATOMIC_POSITIONS angstrom
Tl 0.000 0.000 0.000
Zn 2.135 2.135 2.114
N 0.000 2.135 0.000
N 2.135 0.000 0.000
O 0.000 0.000 2.114
! * DOS(E_F): 3.378 states/eV per cell
! * space group: P4/mmm (123)



No. 2
! PBEsol V2NO5, relaxed; values from VASP
&SYSTEM
  ibrav = 0, nat = 16, ntyp = 3
/
ATOMIC_SPECIES
V 50.94 V.upf
N 14.01 N.upf
O 16.00 O.upf
CELL_PARAMETERS angstrom
5.817 -1.797 0.000
5.817 1.797 0.000
-0.720 0.000 11.557
ATOMIC_POSITIONS angstrom
V 0.765 0.000 1.549
V 1.907 0.000 9.983
V 9.007 0.000 1.574
V 10.149 0.000 10.008
N 5.084 0.000 5.366
N 5.830 0.000 6.191
O 0.612 0.000 3.116
O 0.212 0.000 10.611
O 1.761 0.000 8.420
O 2.787 0.000 1.159
O 3.879 0.000 10.315
O 7.035 0.000 1.241
O 8.127 0.000 10.398
O 9.153 0.000 3.137
O 10.702 0.000 0.946
O 10.302 0.000 8.441
! * DOS(E_F): 0.000 states/eV per cell
! * space group: C2/m (12)



No. 3
! PBEsol WNO3, relaxed; values from VASP
&SYSTEM
  ibrav = 0, nat = 5, ntyp = 3
/
ATOMIC_SPECIES
W 183.84 W.upf
N 14.01 N.upf
O 16.00 O.upf
CELL_PARAMETERS angstrom
3.838 0.000 0.000
0.000 3.838 0.000
0.000 0.000 3.838
ATOMIC_POSITIONS angstrom
W 0.000 0.000 0.000
N 1.919 1.919 1.919
O 0.000 0.000 1.919
O 0.000 1.919 0.000
O 1.919 0.000 0.000
! * DOS(E_F): 1.436 states/eV per cell
! * space group: Pm-3m (221)



No. 4
! PBEsol WNO2, relaxed; values from VASP
&SYSTEM
  ibrav = 0, nat = 4, ntyp = 3
/
ATOMIC_SPECIES
W 183.84 W.upf
N 14.01 N.upf
O 16.00 O.upf
CELL_PARAMETERS angstrom
1.416 0.817 6.040
-1.416 0.817 6.040
0.000 -1.635 6.040
ATOMIC_POSITIONS angstrom
W 0.000 0.000 0.000
N 0.000 0.000 9.061
O 0.000 0.000 1.889
O 0.000 0.000 16.232
! * DOS(E_F): 2.397 states/eV per cell
! * space group: R-3m (166)



No. 5
! PBEsol ZnWN2O, relaxed; values from VASP
&SYSTEM
  ibrav = 0, nat = 5, ntyp = 4
/
ATOMIC_SPECIES
Zn 65.41 Zn.upf
W 183.84 W.upf
N 14.01 N.upf
O 16.00 O.upf
CELL_PARAMETERS angstrom
3.961 0.000 0.000
0.000 3.961 0.000
0.000 0.000 3.791
ATOMIC_POSITIONS angstrom
Zn 0.000 0.000 0.000
W 1.981 1.981 1.895
N 0.000 1.981 1.895
N 1.981 0.000 1.895
O 1.981 1.981 0.000
! * DOS(E_F): 0.973 states/eV per cell
! * space group: P4/mmm (123)



No. 6
! PBEsol YNO2, relaxed; values from VASP
&SYSTEM
  ibrav = 0, nat = 4, ntyp = 3
/
ATOMIC_SPECIES
Y 88.91 Y.upf
N 14.01 N.upf
O 16.00 O.upf
CELL_PARAMETERS angstrom
1.767 1.020 5.581
-1.767 1.020 5.581
0.000 -2.041 5.581
ATOMIC_POSITIONS angstrom
Y 0.000 0.000 0.000
N 0.000 0.000 8.371
O 0.000 0.000 6.579
O 0.000 0.000 10.163
! * space group: R-3m (166)



No. 7
! PBEsol Zr5N5O2, relaxed; values from VASP
&SYSTEM
  ibrav = 0, nat = 12, ntyp = 3
/
ATOMIC_SPECIES
Zr 91.22 Zr.upf
N 14.01 N.upf
O 16.00 O.upf
CELL_PARAMETERS angstrom
5.229 -1.539 0.000
5.229 1.539 0.000
-2.490 0.000 8.763
ATOMIC_POSITIONS angstrom
Zr 0.000 0.000 0.000
Zr 0.126 0.000 3.706
Zr 2.643 0.000 1.684
Zr 5.325 0.000 7.079
Zr 7.842 0.000 5.058
N 1.144 0.000 5.676
N 1.231 0.000 8.288
N 3.984 0.000 4.382
N 6.736 0.000 0.475
N 6.823 0.000 3.087
O -1.488 0.000 6.900
O 9.455 0.000 1.864
! * DOS(E_F): 1.193 states/eV per cell
! * space group: C2/m (12)



No. 8
! PBEsol Zr7N2O11, relaxed; values from VASP
&SYSTEM
  ibrav = 0, nat = 40, ntyp = 3
/
ATOMIC_SPECIES
Zr 91.22 Zr.upf
N 14.01 N.upf
O 16.00 O.upf
CELL_PARAMETERS angstrom
8.044 0.000 0.000
2.421 7.677 0.000
2.463 1.734 7.494
ATOMIC_POSITIONS angstrom
Zr 0.000 0.000 0.000
Zr 3.708 7.558 4.764
Zr 2.760 4.924 2.129
Zr 4.456 4.565 6.896
Zr 3.596 2.464 4.387
Zr 5.534 7.663 1.761
Zr 7.063 6.880 6.703
Zr 6.096 4.844 4.025
Zr 5.408 2.753 1.381
Zr 7.056 2.161 5.945
Zr 8.722 7.521 3.079
Zr 7.812 5.471 0.335
Zr 9.432 5.023 5.358
Zr 8.568 2.311 2.538
N 5.233 3.284 5.384
N 8.712 5.679 7.331
N 7.637 1.119 4.108
N 11.197 8.669 6.550
O 2.147 1.183 3.307
O 1.595 1.303 0.871
O 5.775 8.552 5.750
O 3.891 6.349 0.876
O 4.890 6.421 3.343
O 5.510 5.918 5.729
O 3.632 3.751 0.583
O 4.451 3.892 2.944
O 4.712 1.212 3.035
O 4.385 1.215 0.448
O 8.545 8.332 7.079
O 7.085 6.322 2.088
O 7.906 6.487 4.736
O 6.950 3.582 2.635
O 7.764 3.913 5.204
O 7.033 1.294 1.420
O 9.504 6.421 1.453
O 10.332 6.190 3.815
O 11.121 6.031 6.188
O 9.179 3.916 1.182
O 9.992 3.664 3.647
O 10.674 3.452 6.173
! * DOS(E_F): 0.000 states/eV per cell
! * space group: P1 (1)



no.,formation energy without anion corrections (eV per atom)
1,1.738
2,-1.950
3,-0.545
4,0.981
5,-0.221
6,-1.011
7,-2.175
8,-3.150